Np2CoNi3Ge4 | the Alexandria database | PBE | optimized geometry; DOS at the Fermi energy = 21.8 states/eV per cell; total magnetization = 8.53 μB per formula unit; space-group type = P-4m2; formation enthalpy at 0 K = -0.34 eV per atom; calculated volume = 161.0 Å³ per cell; total energy = -7.225 eV/atom
1.0
4.0824 0.0000 0.0000
0.0000 4.0824 0.0000
0.0000 0.0000 9.6634
Np Co Ni Ge
2 1 3 4
direct
0.0000 0.5000 0.2478 Np
0.5000 0.0000 0.7522 Np
0.5000 0.5000 0.0000 Co
0.0000 0.0000 0.0000 Ni
0.0000 0.5000 0.6271 Ni
0.5000 0.0000 0.3729 Ni
0.0000 0.0000 0.5000 Ge
0.0000 0.5000 0.8693 Ge
0.5000 0.0000 0.1307 Ge
0.5000 0.5000 0.5000 Ge